# FeRuSI2

FeRuSI2 after structural relaxation (PBE, Alexandria).

Lattice parameters (Å, degrees): 5.6045 5.6045 4.3132 90.00 90.00 90.00
Sites, in units of the cell vectors:
Fe (0.0000, 0.0000, 0.0000)
Ru (0.5000, 0.5000, 0.5000)
S (0.5000, 0.5000, 0.0000)
I (0.0000, 0.5000, 0.5000)
I (0.5000, 0.0000, 0.5000)

Output
Total magnetic moment (μB/f.u.): 3.7
Formation energy from raw total energies (eV per atom): 0.6702
Raw total energy (eV per atom): -4.3231